Computed, not measured: a relaxed Li2ZnCoF6 crystal at the GGA+U level of DFT.

Geometry as CIF:
```
data_Li2ZnCoF6
_symmetry_space_group_name_H-M 'P 1'
_symmetry_Int_Tables_number 1
_symmetry_space_group_name_Hall 'P 1'
_cell_length_a 5.171
_cell_length_b 5.174
_cell_length_c 5.549
_cell_angle_alpha 117.78
_cell_angle_beta 90.02
_cell_angle_gamma 119.94
loop_
_atom_site_label
_atom_site_fract_x
_atom_site_fract_y
_atom_site_fract_z
_atom_site_occupancy
Li1 0.000 0.000 0.000 1
Li2 0.496 0.993 0.490 1
Zn1 0.291 0.581 0.873 1
Co1 0.792 0.584 0.376 1
F1 0.081 0.473 0.170 1
F2 0.196 0.087 0.669 1
F3 0.390 0.088 0.171 1
F4 0.580 0.777 0.668 1
F5 0.697 0.779 0.170 1
F6 0.890 0.472 0.669 1
```

Calculated values
- V: 10.8 A^3/atom
- Uncorrected energy: -4.652 eV/atom
- Calculated density: 3.9 Mg/m³